BaTa4O11: relaxed, PBE.

Output
- energy relative to the elements, uncorrected (meV per atom) = -2916

```
data_BaTa4O11
_symmetry_space_group_name_H-M 'P 63 2 2'
_symmetry_Int_Tables_number 182
_symmetry_space_group_name_Hall 'P 6c 2c'
_cell_length_a 6.3819
_cell_length_b 6.3819
_cell_length_c 12.5632
_cell_angle_alpha 90.00
_cell_angle_beta 90.00
_cell_angle_gamma 120.00
loop_
_atom_site_label
_atom_site_fract_x
_atom_site_fract_y
_atom_site_fract_z
Ba1 0.3333 0.6667 0.2500
Ta1 0.0000 0.3527 0.5000
Ta2 0.3333 0.6667 0.7500
O1 0.0000 0.2411 0.0000
O2 0.0718 0.4349 0.6522
O3 0.3333 0.6667 0.0323
```